{
  "formula": "Sc6Tl3Hg",
  "functional": "PBE-GGA",
  "state": "relaxed",
  "cell": [[8.8162, 0.0000, 0.0000], [0.0000, 5.0621, 0.0000], [-3.2707, 0.0000, 10.4076]],
  "species": ["Sc", "Sc", "Sc", "Sc", "Sc", "Sc", "Sc", "Sc", "Sc", "Sc", "Sc", "Sc", "Tl", "Tl", "Tl", "Tl", "Tl", "Tl", "Hg", "Hg"],
  "fractional_positions": [[0.0463, 0.2500, 0.4120], [0.1577, 0.7500, 0.1847], [0.2647, 0.2500, 0.0022], [0.3482, 0.7500, 0.8058], [0.3591, 0.2500, 0.3182], [0.4123, 0.2500, 0.6150], [0.5877, 0.7500, 0.3850], [0.6409, 0.7500, 0.6818], [0.6518, 0.2500, 0.1942], [0.7353, 0.7500, 0.9978], [0.8423, 0.2500, 0.8153], [0.9537, 0.7500, 0.5880], [0.0286, 0.7500, 0.8878], [0.1323, 0.2500, 0.7095], [0.2824, 0.7500, 0.4776], [0.7176, 0.2500, 0.5224], [0.8677, 0.7500, 0.2905], [0.9714, 0.2500, 0.1122], [0.4462, 0.7500, 0.1125], [0.5538, 0.2500, 0.8875]],
  "space_group": "P2_1/m (11)",
  "dos_ef_per_ev_fu": 11.39,
  "e_form_ev_per_atom": -0.256,
  "crystal_system": "monoclinic"
}

---

{
  "formula": "Tb2GaSn2Rh5",
  "functional": "PBE-GGA",
  "state": "relaxed",
  "cell": [[10.6615, 0.0000, 0.0000], [0.0000, 10.6615, 0.0000], [0.0000, 0.0000, 3.2683]],
  "species": ["Tb", "Tb", "Tb", "Tb", "Ga", "Ga", "Sn", "Sn", "Sn", "Sn", "Rh", "Rh", "Rh", "Rh", "Rh", "Rh", "Rh", "Rh", "Rh", "Rh"],
  "fractional_positions": [[0.1646, 0.3354, 0.0000], [0.3354, 0.8354, 0.0000], [0.6646, 0.1646, 0.0000], [0.8354, 0.6646, 0.0000], [0.0000, 0.0000, 0.0000], [0.5000, 0.5000, 0.0000], [0.1388, 0.6388, 0.0000], [0.3612, 0.1388, 0.0000], [0.6388, 0.8612, 0.0000], [0.8612, 0.3612, 0.0000], [0.0000, 0.5000, 0.5000], [0.0322, 0.8055, 0.5000], [0.1945, 0.0322, 0.5000], [0.3055, 0.5322, 0.5000], [0.4678, 0.3055, 0.5000], [0.5000, 0.0000, 0.5000], [0.5322, 0.6945, 0.5000], [0.6945, 0.4678, 0.5000], [0.8055, 0.9678, 0.5000], [0.9678, 0.1945, 0.5000]],
  "space_group": "P4/mbm (127)",
  "dos_ef_per_ev_fu": 4.05,
  "e_form_ev_per_atom": -0.582,
  "crystal_system": "tetragonal"
}

---

{
  "formula": "Ac3Al2SbPt9",
  "functional": "PBE-GGA",
  "state": "relaxed",
  "cell": [[7.5031, 0.0000, 0.0000], [-3.7516, 6.4979, 0.0000], [0.0000, 0.0000, 7.0314]],
  "species": ["Ac", "Ac", "Ac", "Al", "Al", "Sb", "Pt", "Pt", "Pt", "Pt", "Pt", "Pt", "Pt", "Pt", "Pt"],
  "fractional_positions": [[0.0000, 0.0000, 0.0000], [0.3333, 0.6667, 0.6548], [0.6667, 0.3333, 0.3452], [0.3333, 0.6667, 0.1484], [0.6667, 0.3333, 0.8516], [0.0000, 0.0000, 0.5000], [0.0000, 0.5000, 0.0000], [0.1717, 0.3435, 0.3117], [0.1717, 0.8283, 0.3117], [0.3435, 0.1717, 0.6883], [0.5000, 0.0000, 0.0000], [0.5000, 0.5000, 0.0000], [0.6565, 0.8283, 0.3117], [0.8283, 0.1717, 0.6883], [0.8283, 0.6565, 0.6883]],
  "raw_formation_energy_ev_per_atom": -0.662,
  "space_group": "P-3m1 (164)",
  "dos_ef_per_ev_fu": 8.51,
  "crystal_system": "trigonal"
}

---

{
  "formula": "MnRu5",
  "functional": "PBE-GGA",
  "state": "relaxed",
  "cell": [[2.6810, 0.0000, 0.0000], [0.0000, 2.6810, 0.0000], [0.0000, 0.0000, 11.2813]],
  "species": ["Mn", "Ru", "Ru", "Ru", "Ru", "Ru"],
  "fractional_positions": [[0.0000, 0.0000, 0.0000], [0.0000, 0.0000, 0.3290], [0.0000, 0.0000, 0.6710], [0.5000, 0.5000, 0.1573], [0.5000, 0.5000, 0.5000], [0.5000, 0.5000, 0.8427]],
  "space_group": "P4/mmm (123)",
  "dos_ef_per_ev_fu": 6.94,
  "e_form_ev_per_atom": 0.113,
  "crystal_system": "tetragonal"
}

---

{
  "formula": "La2PmN3",
  "functional": "PBE-GGA",
  "state": "relaxed",
  "cell": [[-1.8498, 1.8498, 7.9063], [1.8498, -1.8498, 7.9063], [1.8498, 1.8498, -7.9063]],
  "species": ["La", "La", "Pm", "N", "N", "N"],
  "fractional_positions": [[0.1631, 0.1631, 0.0000], [0.8369, 0.8369, 0.0000], [0.5000, 0.5000, 0.0000], [0.0000, 0.0000, 0.0000], [0.3400, 0.3400, 0.0000], [0.6600, 0.6600, 0.0000]],
  "raw_formation_energy_ev_per_atom": -1.348,
  "space_group": "I4/mmm (139)",
  "dos_ef_per_ev_fu": 0.61,
  "crystal_system": "tetragonal"
}

---

{
  "formula": "Na2Ge4Pd3",
  "functional": "PBE-GGA",
  "state": "relaxed",
  "cell": [[0.0000, 4.9168, 6.1509], [2.8190, 0.0000, 6.1509], [2.8190, 4.9168, 0.0000]],
  "species": ["Na", "Na", "Ge", "Ge", "Ge", "Ge", "Pd", "Pd", "Pd"],
  "fractional_positions": [[0.1262, 0.1262, 0.8738], [0.8738, 0.8738, 0.1262], [0.1619, 0.5132, 0.4868], [0.4868, 0.8381, 0.1619], [0.5132, 0.1619, 0.8381], [0.8381, 0.4868, 0.5132], [0.0000, 0.0000, 0.5000], [0.5000, 0.5000, 0.0000], [0.5000, 0.5000, 0.5000]],
  "space_group": "Fmmm (69)",
  "dos_ef_per_ev_fu": 1.64,
  "e_form_ev_per_atom": -0.301,
  "crystal_system": "orthorhombic"
}

---

{
  "formula": "CaDyHgPb",
  "functional": "PBE-GGA",
  "state": "relaxed",
  "cell": [[4.0689, 0.0000, 0.0000], [0.0000, 5.1515, 0.0000], [0.0000, 0.0000, 5.2923]],
  "species": ["Ca", "Dy", "Hg", "Pb"],
  "fractional_positions": [[0.0000, 0.0000, 0.0000], [0.0000, 0.5000, 0.5000], [0.5000, 0.5000, 0.0000], [0.5000, 0.0000, 0.5000]],
  "space_group": "Pmmm (47)",
  "dos_ef_per_ev_fu": 2.29,
  "de_polymorph_kj_per_mol_atoms": 0.0,
  "e_form_ev_per_atom": -0.501,
  "crystal_system": "orthorhombic"
}

---

{
  "formula": "InSbP2",
  "functional": "PBE-GGA",
  "state": "relaxed",
  "cell": [[3.7269, 0.0000, 0.0000], [0.0000, 3.9521, 0.0000], [0.0000, 0.0000, 6.0534]],
  "species": ["In", "Sb", "P", "P"],
  "fractional_positions": [[0.0000, 0.0000, 0.0000], [0.0000, 0.5000, 0.5000], [0.5000, 0.0000, 0.5000], [0.5000, 0.5000, 0.0000]],
  "raw_formation_energy_ev_per_atom": 0.447,
  "space_group": "Pmmm (47)",
  "dos_ef_per_ev_fu": 2.45,
  "de_polymorph_kj_per_mol_atoms": 38.9,
  "crystal_system": "orthorhombic"
}

---

{
  "formula": "Tb5Ga2",
  "functional": "PBE-GGA",
  "state": "relaxed",
  "cell": [[-3.9702, 7.2216, 3.2565], [3.9702, -7.2216, 3.2565], [3.9702, 7.2216, -3.2565]],
  "species": ["Tb", "Tb", "Tb", "Tb", "Tb", "Tb", "Tb", "Tb", "Tb", "Tb", "Ga", "Ga", "Ga", "Ga"],
  "fractional_positions": [[0.0157, 0.2500, 0.7657], [0.0802, 0.6591, 0.7393], [0.2500, 0.2500, 0.0000], [0.4198, 0.1591, 0.5789], [0.4843, 0.2500, 0.2343], [0.5157, 0.7500, 0.7657], [0.5802, 0.8409, 0.4211], [0.7500, 0.7500, 0.0000], [0.9198, 0.3409, 0.2607], [0.9843, 0.7500, 0.2343], [0.1274, 0.2737, 0.4011], [0.3726, 0.7737, 0.1464], [0.6274, 0.2263, 0.8536], [0.8726, 0.7263, 0.5989]],
  "space_group": "Ibam (72)",
  "dos_ef_per_ev_fu": 7.37,
  "de_polymorph_kj_per_mol_atoms": 2.5,
  "e_form_ev_per_atom": -0.296,
  "crystal_system": "orthorhombic"
}

---

{
  "formula": "CsMnSe3",
  "functional": "PBE-GGA",
  "state": "relaxed",
  "cell": [[3.9687, -5.2653, 0.0000], [3.9687, 5.2653, 0.0000], [-2.1264, 0.0000, 7.1675]],
  "species": ["Cs", "Cs", "Mn", "Mn", "Se", "Se", "Se", "Se", "Se", "Se"],
  "fractional_positions": [[0.1789, 0.8211, 0.7500], [0.8211, 0.1789, 0.2500], [0.4167, 0.5833, 0.2500], [0.5833, 0.4167, 0.7500], [0.1823, 0.8177, 0.2500], [0.2711, 0.3819, 0.9210], [0.3819, 0.2711, 0.4210], [0.6181, 0.7289, 0.5790], [0.7289, 0.6181, 0.0790], [0.8177, 0.1823, 0.7500]],
  "raw_formation_energy_ev_per_atom": -0.577,
  "space_group": "C2/c (15)",
  "dos_ef_per_ev_fu": 1.61,
  "de_polymorph_kj_per_mol_atoms": 0.0,
  "crystal_system": "monoclinic"
}

---

{
  "formula": "CdP",
  "functional": "PBE-GGA",
  "state": "relaxed",
  "cell": [[7.2726, 0.0000, 0.0000], [0.0000, 7.2726, 0.0000], [0.0000, 0.0000, 7.2726]],
  "species": ["Cd", "Cd", "Cd", "Cd", "Cd", "Cd", "P", "P", "P", "P", "P", "P"],
  "fractional_positions": [[0.0000, 0.2500, 0.5000], [0.0000, 0.7500, 0.5000], [0.2500, 0.5000, 0.0000], [0.5000, 0.0000, 0.2500], [0.5000, 0.0000, 0.7500], [0.7500, 0.5000, 0.0000], [0.0000, 0.5000, 0.2500], [0.0000, 0.5000, 0.7500], [0.2500, 0.0000, 0.5000], [0.5000, 0.2500, 0.0000], [0.5000, 0.7500, 0.0000], [0.7500, 0.0000, 0.5000]],
  "space_group": "Pm-3n (223)",
  "dos_ef_per_ev_fu": 2.83,
  "de_polymorph_kj_per_mol_atoms": 42.7,
  "e_form_ev_per_atom": 0.401,
  "crystal_system": "cubic"
}

---

{
  "formula": "ScSn2Rh4",
  "functional": "PBE-GGA",
  "state": "relaxed",
  "cell": [[2.2183, 1.2807, 7.2783], [-2.2183, 1.2807, 7.2783], [0.0000, -2.5614, 7.2783]],
  "species": ["Sc", "Sn", "Sn", "Rh", "Rh", "Rh", "Rh"],
  "fractional_positions": [[0.0000, 0.0000, 0.0000], [0.2455, 0.2455, 0.2455], [0.7545, 0.7545, 0.7545], [0.1244, 0.1244, 0.1244], [0.3752, 0.3752, 0.3752], [0.6248, 0.6248, 0.6248], [0.8756, 0.8756, 0.8756]],
  "space_group": "R-3m (166)",
  "dos_ef_per_ev_fu": 2.34,
  "de_polymorph_kj_per_mol_atoms": 0.0,
  "e_form_ev_per_atom": -0.610,
  "crystal_system": "trigonal"
}